# 1
{
  "formula": "Pm3Ga3Cu2",
  "functional": "PBE-GGA",
  "state": "optimized geometry",
  "total_magnetization_mub_per_fu": 0.0,
  "formation_energy_mev_per_atom": -502.5,
  "crystal_system": "orthorhombic",
  "cell": [[-3.676, -1.519, 1.977], [2.347, -3.776, -3.526], [8.255, -5.357, 11.230]],
  "species": ["Ga", "Ga", "Ga", "Ga", "Ga", "Ga", "Pm", "Pm", "Pm", "Pm", "Pm", "Pm", "Cu", "Cu", "Cu", "Cu"],
  "frac_coords": [[0.612, 0.223, 0.460], [0.612, 0.223, 0.040], [0.323, 0.645, 0.250], [0.388, 0.777, 0.540], [0.388, 0.777, 0.960], [0.677, 0.355, 0.750], [0.105, 0.210, 0.893], [0.105, 0.210, 0.607], [0.895, 0.790, 0.393], [0.615, 0.230, 0.250], [0.895, 0.790, 0.107], [0.385, 0.770, 0.750], [0.196, 0.391, 0.401], [0.804, 0.609, 0.599], [0.196, 0.391, 0.099], [0.804, 0.609, 0.901]]
}

***

# 2
{
  "formula": "Bi2PtRhO8",
  "functional": "PBE-GGA",
  "state": "optimized geometry",
  "total_magnetization_mub_per_fu": 0.0,
  "crystal_system": "monoclinic",
  "raw_formation_energy_ev_per_fu": -9.0,
  "cell": [[4.958, -0.054, -0.003], [-0.037, 4.819, -0.005], [0.004, 0.007, 6.682]],
  "species": ["O", "O", "O", "O", "O", "O", "O", "O", "Rh", "Bi", "Bi", "Pt"],
  "frac_coords": [[0.323, 0.244, 0.500], [0.678, 0.745, 0.000], [0.322, 0.255, 0.000], [0.865, 0.210, 0.749], [0.677, 0.756, 0.500], [0.135, 0.790, 0.251], [0.135, 0.790, 0.749], [0.865, 0.210, 0.251], [0.000, 0.000, 0.500], [0.500, 0.500, 0.251], [0.500, 0.500, 0.749], [0.000, 0.000, 0.000]]
}

***

# 3
{
  "formula": "TlRh3",
  "functional": "PBE-GGA",
  "state": "optimized geometry",
  "total_magnetization_mub_per_fu": 1.3,
  "formation_energy_mev_per_atom": 370.6,
  "crystal_system": "cubic",
  "cell": [[5.098, 0.000, 0.000], [0.000, 5.098, 0.000], [0.000, 0.000, 5.098]],
  "species": ["Rh", "Rh", "Rh", "Rh", "Rh", "Rh", "Tl", "Tl"],
  "frac_coords": [[0.000, 0.250, 0.500], [0.500, 0.000, 0.250], [0.000, 0.750, 0.500], [0.250, 0.500, 0.000], [0.500, 0.000, 0.750], [0.750, 0.500, 0.000], [0.500, 0.500, 0.500], [0.000, 0.000, 0.000]]
}

***

# 4
{
  "formula": "Pr3NdDy2",
  "functional": "PBE-GGA",
  "state": "optimized geometry",
  "total_magnetization_mub_per_fu": 0.0,
  "formation_energy_mev_per_atom": 16.4,
  "crystal_system": "monoclinic",
  "e_above_lowest_polymorph_mev_per_atom": 0,
  "cell": [[7.304, 0.000, 0.000], [-3.652, 4.503, -2.520], [0.000, 0.857, 12.087]],
  "species": ["Pr", "Pr", "Pr", "Pr", "Pr", "Pr", "Dy", "Dy", "Dy", "Dy", "Nd", "Nd"],
  "frac_coords": [[0.375, 0.000, 0.750], [0.958, 0.666, 0.916], [0.042, 0.334, 0.084], [0.625, 0.000, 0.250], [0.708, 0.666, 0.416], [0.292, 0.334, 0.584], [0.791, 0.332, 0.582], [0.541, 0.332, 0.082], [0.209, 0.668, 0.418], [0.459, 0.668, 0.918], [0.125, 0.000, 0.250], [0.875, 0.000, 0.750]]
}

***

# 5
{
  "formula": "TmAg8Au5",
  "functional": "PBE-GGA",
  "state": "optimized geometry",
  "total_magnetization_mub_per_fu": 0.0,
  "formation_energy_mev_per_atom": 18.5,
  "crystal_system": "tetragonal",
  "cell": [[-0.762, 3.932, -5.885], [-2.482, -6.606, -0.932], [-3.611, 3.457, 5.068]],
  "species": ["Ag", "Ag", "Ag", "Ag", "Ag", "Ag", "Ag", "Ag", "Au", "Au", "Au", "Au", "Au", "Tm"],
  "frac_coords": [[0.135, 0.748, 0.079], [0.332, 0.252, 0.387], [0.613, 0.945, 0.865], [0.668, 0.405, 0.936], [0.064, 0.732, 0.469], [0.921, 0.055, 0.668], [0.737, 0.268, 0.332], [0.531, 0.595, 0.263], [0.865, 0.927, 0.223], [0.297, 0.073, 0.939], [0.061, 0.358, 0.135], [0.500, 0.000, 0.500], [0.777, 0.642, 0.703], [0.250, 0.500, 0.750]]
}

***

# 6
{
  "formula": "Y5Ho2Tm4",
  "functional": "PBE-GGA",
  "state": "optimized geometry",
  "total_magnetization_mub_per_fu": 0.0,
  "formation_energy_mev_per_atom": 28.3,
  "crystal_system": "monoclinic",
  "e_above_lowest_polymorph_mev_per_atom": 0,
  "cell": [[4.906, 0.000, -0.883], [-0.979, 5.641, -5.439], [0.898, -6.882, 19.061]],
  "species": ["Tm", "Tm", "Tm", "Tm", "Y", "Y", "Y", "Y", "Y", "Ho", "Ho"],
  "frac_coords": [[0.045, 0.906, 0.090], [0.955, 0.094, 0.910], [0.681, 0.634, 0.363], [0.319, 0.366, 0.637], [0.227, 0.547, 0.454], [0.500, 0.000, 0.000], [0.864, 0.276, 0.728], [0.773, 0.453, 0.546], [0.136, 0.724, 0.272], [0.590, 0.817, 0.181], [0.410, 0.183, 0.819]]
}

***

# 7
{
  "formula": "RbPu2CuI8",
  "functional": "PBE-GGA",
  "state": "optimized geometry",
  "total_magnetization_mub_per_fu": 10.0,
  "crystal_system": "triclinic",
  "raw_formation_energy_ev_per_fu": -11.3,
  "cell": [[8.047, 2.326, 0.497], [2.386, 9.311, -0.521], [0.580, -0.731, 9.154]],
  "species": ["Cu", "I", "I", "I", "I", "I", "I", "I", "I", "Pu", "Pu", "Rb"],
  "frac_coords": [[0.000, 0.000, 0.000], [0.488, 0.288, 0.502], [0.946, 0.232, 0.183], [0.054, 0.768, 0.817], [0.512, 0.712, 0.498], [0.487, 0.727, 0.056], [0.513, 0.273, 0.944], [0.918, 0.369, 0.713], [0.082, 0.631, 0.287], [0.502, 0.527, 0.758], [0.498, 0.473, 0.242], [0.000, 0.000, 0.500]]
}

***

# 8
{
  "formula": "PaAl3Pt4",
  "functional": "PBE-GGA",
  "state": "optimized geometry",
  "total_magnetization_mub_per_fu": 0.0,
  "formation_energy_mev_per_atom": -1020.6,
  "crystal_system": "trigonal",
  "cell": [[-0.983, 0.927, 4.068], [2.807, -0.842, 3.128], [4.001, 7.802, 1.448]],
  "species": ["Pt", "Pt", "Pt", "Pt", "Al", "Al", "Al", "Pa"],
  "frac_coords": [[0.134, 0.134, 0.598], [0.603, 0.603, 0.192], [0.397, 0.397, 0.808], [0.866, 0.866, 0.402], [0.759, 0.759, 0.723], [0.241, 0.241, 0.277], [0.500, 0.500, 0.500], [0.000, 0.000, 0.000]]
}

***

# 9
{
  "formula": "Sm2HoCd4",
  "functional": "PBE-GGA",
  "state": "optimized geometry",
  "total_magnetization_mub_per_fu": 0.4,
  "formation_energy_mev_per_atom": -163.7,
  "crystal_system": "tetragonal",
  "e_above_lowest_polymorph_mev_per_atom": 0,
  "cell": [[0.005, -3.998, 3.534], [5.302, 0.403, 0.449], [-3.452, 6.443, 3.267]],
  "species": ["Sm", "Sm", "Cd", "Cd", "Cd", "Cd", "Ho"],
  "frac_coords": [[0.741, 0.741, 0.483], [0.259, 0.259, 0.517], [0.889, 0.389, 0.777], [0.611, 0.111, 0.223], [0.111, 0.611, 0.223], [0.389, 0.889, 0.777], [0.000, 0.000, 0.000]]
}

***

# 10
{
  "formula": "BeNiSe",
  "functional": "PBE-GGA",
  "state": "optimized geometry",
  "total_magnetization_mub_per_fu": 0.0,
  "crystal_system": "triclinic",
  "raw_formation_energy_ev_per_fu": -0.8,
  "cell": [[3.993, 0.001, 0.001], [-1.878, 7.251, 0.014], [-2.363, 0.423, 3.191]],
  "species": ["Se", "Se", "Ni", "Ni", "Be", "Be"],
  "frac_coords": [[0.795, 0.617, 0.230], [0.236, 0.081, 0.794], [0.606, 0.269, 0.422], [0.073, 0.513, 0.953], [0.914, 0.226, 0.115], [0.358, 0.424, 0.668]]
}

***

# 11
{
  "formula": "ScHRh3",
  "functional": "PBE-GGA",
  "state": "optimized geometry",
  "total_magnetization_mub_per_fu": 2.3,
  "crystal_system": "cubic",
  "e_above_lowest_polymorph_mev_per_atom": 2102,
  "cell": [[-1.220, -3.805, -2.463], [3.180, -2.536, 2.343], [-3.230, -1.059, 3.237]],
  "species": ["Rh", "Rh", "Rh", "H", "Sc"],
  "frac_coords": [[0.000, 0.000, 0.500], [0.000, 0.500, 0.000], [0.500, 0.000, 0.000], [0.500, 0.500, 0.500], [0.000, 0.000, 0.000]]
}

***

# 12
{
  "formula": "K2PtW",
  "functional": "PBE-GGA",
  "state": "optimized geometry",
  "total_magnetization_mub_per_fu": 0.9,
  "formation_energy_mev_per_atom": 578.7,
  "crystal_system": "monoclinic",
  "e_above_lowest_polymorph_mev_per_atom": 54,
  "cell": [[-7.118, -7.426, 1.847], [-7.260, -7.449, -1.015], [2.475, -3.749, -0.092]],
  "species": ["K", "K", "Pt", "W"],
  "frac_coords": [[0.105, 0.105, 0.893], [0.395, 0.395, 0.607], [0.750, 0.750, 0.750], [0.250, 0.250, 0.250]]
}